# 1
First-principles (PBE) data for a geometry-optimized Zr5AgPb3 structure, as listed in Alexandria via LeMat-Bulk.

## Properties
* energy of formation: -246 meV/atom
* spin magnetization: 0.0 μB/f.u.
* uncorrected energy: -6.55 eV/atom

```
data_Zr5AgPb3
_cell_length_a 8.874
_cell_length_b 8.874
_cell_length_c 5.997
_cell_angle_alpha 90.00
_cell_angle_beta 90.00
_cell_angle_gamma 120.00
_symmetry_space_group_name_H-M 'P 1'
_symmetry_Int_Tables_number 1
_symmetry_space_group_name_Hall 'P 1'
loop_
_atom_site_label
_atom_site_fract_x
_atom_site_fract_y
_atom_site_fract_z
_atom_site_occupancy
Zr1 0.000 0.281 0.250 1
Zr2 0.000 0.719 0.750 1
Zr3 0.281 0.000 0.250 1
Zr4 0.281 0.281 0.750 1
Zr5 0.333 0.667 0.000 1
Zr6 0.333 0.667 0.500 1
Zr7 0.667 0.333 0.000 1
Zr8 0.667 0.333 0.500 1
Zr9 0.719 0.000 0.750 1
Zr10 0.719 0.719 0.250 1
Ag1 0.000 0.000 0.000 1
Ag2 0.000 0.000 0.500 1
Pb1 0.000 0.378 0.750 1
Pb2 0.000 0.622 0.250 1
Pb3 0.378 0.000 0.750 1
Pb4 0.378 0.378 0.250 1
Pb5 0.622 0.000 0.250 1
Pb6 0.622 0.622 0.750 1
```



# 2
First-principles (PBE) data for a geometry-optimized Al2CuRu2 structure, as listed in Alexandria via LeMat-Bulk.

## Properties
* energy of formation: 286 meV/atom
* spin magnetization: 0.0 μB/f.u.
* uncorrected energy: -5.74 eV/atom
* E above lowest polymorph: 562 meV per atom

```
data_Al2CuRu2
_cell_length_a 6.720
_cell_length_b 6.720
_cell_length_c 6.720
_cell_angle_alpha 148.81
_cell_angle_beta 148.81
_cell_angle_gamma 44.69
_symmetry_space_group_name_H-M 'P 1'
_symmetry_Int_Tables_number 1
_symmetry_space_group_name_Hall 'P 1'
loop_
_atom_site_label
_atom_site_fract_x
_atom_site_fract_y
_atom_site_fract_z
_atom_site_occupancy
Al1 0.102 0.102 0.000 1
Al2 0.898 0.898 0.000 1
Cu1 0.500 0.500 0.000 1
Ru1 0.250 0.750 0.500 1
Ru2 0.750 0.250 0.500 1
```



# 3
First-principles (PBE) data for a geometry-optimized MoOsBr2 structure, as listed in Alexandria via LeMat-Bulk.

## Properties
* spin magnetization: 2.1 μB/f.u.
* uncorrected energy: -5.04 eV/atom
* E above lowest polymorph: 1140 meV per atom
* raw formation energy: 1315 meV per atom

```
data_MoOsBr2
_cell_length_a 3.138
_cell_length_b 3.138
_cell_length_c 9.137
_cell_angle_alpha 90.00
_cell_angle_beta 90.00
_cell_angle_gamma 123.91
_symmetry_space_group_name_H-M 'P 1'
_symmetry_Int_Tables_number 1
_symmetry_space_group_name_Hall 'P 1'
loop_
_atom_site_label
_atom_site_fract_x
_atom_site_fract_y
_atom_site_fract_z
_atom_site_occupancy
Mo1 0.000 0.000 0.000 1
Os1 0.000 0.000 0.500 1
Br1 0.500 0.500 0.238 1
Br2 0.500 0.500 0.762 1
```



# 4
First-principles (PBE) data for a geometry-optimized Hf2CoBTe structure, as listed in Alexandria via LeMat-Bulk.

## Properties
* spin magnetization: 0.7 μB/f.u.
* uncorrected energy: -5.67 eV/atom
* raw formation energy: 1698 meV per atom

```
data_Hf2CoBTe
_cell_length_a 5.216
_cell_length_b 5.216
_cell_length_c 4.423
_cell_angle_alpha 90.00
_cell_angle_beta 90.00
_cell_angle_gamma 90.00
_symmetry_space_group_name_H-M 'P 1'
_symmetry_Int_Tables_number 1
_symmetry_space_group_name_Hall 'P 1'
loop_
_atom_site_label
_atom_site_fract_x
_atom_site_fract_y
_atom_site_fract_z
_atom_site_occupancy
Hf1 0.000 0.500 0.000 1
Hf2 0.500 0.000 0.000 1
Co1 0.000 0.000 0.500 1
B1 0.500 0.500 0.500 1
Te1 0.000 0.000 0.000 1
```



# 5
First-principles (PBE) data for a geometry-optimized VGa2Mo structure, as listed in Alexandria via LeMat-Bulk.

## Properties
* energy of formation: 284 meV/atom
* spin magnetization: 0.0 μB/f.u.
* uncorrected energy: -6.22 eV/atom
* E above lowest polymorph: 336 meV per atom

```
data_VGa2Mo
_cell_length_a 5.555
_cell_length_b 5.555
_cell_length_c 5.555
_cell_angle_alpha 103.46
_cell_angle_beta 103.46
_cell_angle_gamma 122.32
_symmetry_space_group_name_H-M 'P 1'
_symmetry_Int_Tables_number 1
_symmetry_space_group_name_Hall 'P 1'
loop_
_atom_site_label
_atom_site_fract_x
_atom_site_fract_y
_atom_site_fract_z
_atom_site_occupancy
V1 0.000 0.000 0.000 1
V2 0.750 0.250 0.500 1
Ga1 0.118 0.625 0.993 1
Ga2 0.375 0.368 0.493 1
Ga3 0.632 0.125 0.007 1
Ga4 0.875 0.882 0.507 1
Mo1 0.250 0.750 0.500 1
Mo2 0.500 0.500 0.000 1
```



# 6
First-principles (PBE) data for a geometry-optimized RbSrCdS2 structure, as listed in Alexandria via LeMat-Bulk.

## Properties
* spin magnetization: 0.0 μB/f.u.
* uncorrected energy: -3.33 eV/atom
* raw formation energy: -968 meV per atom

```
data_RbSrCdS2
_cell_length_a 7.693
_cell_length_b 5.533
_cell_length_c 8.475
_cell_angle_alpha 90.00
_cell_angle_beta 99.25
_cell_angle_gamma 90.00
_symmetry_space_group_name_H-M 'P 1'
_symmetry_Int_Tables_number 1
_symmetry_space_group_name_Hall 'P 1'
loop_
_atom_site_label
_atom_site_fract_x
_atom_site_fract_y
_atom_site_fract_z
_atom_site_occupancy
Rb1 0.000 0.157 0.250 1
Rb2 0.000 0.843 0.750 1
Sr1 0.500 0.492 0.750 1
Sr2 0.500 0.508 0.250 1
Cd1 0.500 0.000 0.000 1
Cd2 0.500 0.000 0.500 1
S1 0.264 0.324 0.967 1
S2 0.264 0.676 0.467 1
S3 0.736 0.324 0.533 1
S4 0.736 0.676 0.033 1
```



# 7
First-principles (PBE) data for a geometry-optimized CsMgZr2Cd structure, as listed in Alexandria via LeMat-Bulk.

## Properties
* energy of formation: 1817 meV/atom
* spin magnetization: 0.0 μB/f.u.
* uncorrected energy: -2.28 eV/atom

```
data_CsMgZr2Cd
_cell_length_a 5.316
_cell_length_b 5.316
_cell_length_c 5.802
_cell_angle_alpha 90.00
_cell_angle_beta 90.00
_cell_angle_gamma 90.00
_symmetry_space_group_name_H-M 'P 1'
_symmetry_Int_Tables_number 1
_symmetry_space_group_name_Hall 'P 1'
loop_
_atom_site_label
_atom_site_fract_x
_atom_site_fract_y
_atom_site_fract_z
_atom_site_occupancy
Cs1 0.000 0.000 0.000 1
Mg1 0.500 0.500 0.500 1
Zr1 0.000 0.500 0.000 1
Zr2 0.500 0.000 0.000 1
Cd1 0.000 0.000 0.500 1
```



# 8
First-principles (PBE) data for a geometry-optimized Li2BiPtO structure, as listed in Alexandria via LeMat-Bulk.

## Properties
* spin magnetization: 0.0 μB/f.u.
* uncorrected energy: -4.51 eV/atom
* raw formation energy: -770 meV per atom

```
data_Li2BiPtO
_cell_length_a 4.065
_cell_length_b 4.065
_cell_length_c 4.608
_cell_angle_alpha 90.00
_cell_angle_beta 90.00
_cell_angle_gamma 90.00
_symmetry_space_group_name_H-M 'P 1'
_symmetry_Int_Tables_number 1
_symmetry_space_group_name_Hall 'P 1'
loop_
_atom_site_label
_atom_site_fract_x
_atom_site_fract_y
_atom_site_fract_z
_atom_site_occupancy
Li1 0.000 0.500 0.000 1
Li2 0.500 0.000 0.000 1
Bi1 0.000 0.000 0.500 1
Pt1 0.500 0.500 0.500 1
O1 0.500 0.500 0.000 1
```



# 9
First-principles (PBE) data for a geometry-optimized Re3Te structure, as listed in Alexandria via LeMat-Bulk.

## Properties
* spin magnetization: 0.0 μB/f.u.
* uncorrected energy: -6.45 eV/atom
* E above lowest polymorph: 3136 meV per atom
* raw formation energy: 3671 meV per atom

```
data_Re3Te
_cell_length_a 4.867
_cell_length_b 4.867
_cell_length_c 4.867
_cell_angle_alpha 90.00
_cell_angle_beta 90.00
_cell_angle_gamma 90.00
_symmetry_space_group_name_H-M 'P 1'
_symmetry_Int_Tables_number 1
_symmetry_space_group_name_Hall 'P 1'
loop_
_atom_site_label
_atom_site_fract_x
_atom_site_fract_y
_atom_site_fract_z
_atom_site_occupancy
Re1 0.000 0.000 0.500 1
Re2 0.000 0.500 0.000 1
Re3 0.500 0.000 0.000 1
Te1 0.000 0.000 0.000 1
```



# 10
First-principles (PBE) data for a geometry-optimized La2Nd4Hg3O2 structure, as listed in Alexandria via LeMat-Bulk.

## Properties
* spin magnetization: 0.0 μB/f.u.
* uncorrected energy: -4.86 eV/atom
* raw formation energy: -1248 meV per atom

```
data_La2Nd4Hg3O2
_cell_length_a 12.540
_cell_length_b 12.540
_cell_length_c 12.540
_cell_angle_alpha 157.01
_cell_angle_beta 157.01
_cell_angle_gamma 32.73
_symmetry_space_group_name_H-M 'P 1'
_symmetry_Int_Tables_number 1
_symmetry_space_group_name_Hall 'P 1'
loop_
_atom_site_label
_atom_site_fract_x
_atom_site_fract_y
_atom_site_fract_z
_atom_site_occupancy
La1 0.201 0.201 0.000 1
La2 0.799 0.799 0.000 1
Nd1 0.084 0.584 0.500 1
Nd2 0.416 0.916 0.500 1
Nd3 0.584 0.084 0.500 1
Nd4 0.916 0.416 0.500 1
Hg1 0.331 0.331 0.000 1
Hg2 0.500 0.500 0.000 1
Hg3 0.669 0.669 0.000 1
O1 0.104 0.104 0.000 1
O2 0.896 0.896 0.000 1
```



# 11
First-principles (PBE) data for a geometry-optimized FeRh2Cl structure, as listed in Alexandria via LeMat-Bulk.

## Properties
* spin magnetization: 5.0 μB/f.u.
* uncorrected energy: -5.66 eV/atom
* raw formation energy: 598 meV per atom

```
data_FeRh2Cl
_cell_length_a 4.701
_cell_length_b 4.701
_cell_length_c 4.701
_cell_angle_alpha 130.07
_cell_angle_beta 130.07
_cell_angle_gamma 73.29
_symmetry_space_group_name_H-M 'P 1'
_symmetry_Int_Tables_number 1
_symmetry_space_group_name_Hall 'P 1'
loop_
_atom_site_label
_atom_site_fract_x
_atom_site_fract_y
_atom_site_fract_z
_atom_site_occupancy
Fe1 0.000 0.000 0.000 1
Rh1 0.250 0.750 0.500 1
Rh2 0.750 0.250 0.500 1
Cl1 0.500 0.500 0.000 1
```



# 12
First-principles (PBE) data for a geometry-optimized PrSm2Ho6Tm structure, as listed in Alexandria via LeMat-Bulk.

## Properties
* energy of formation: 118 meV/atom
* spin magnetization: 0.0 μB/f.u.
* uncorrected energy: -4.50 eV/atom

```
data_PrSm2Ho6Tm
_cell_length_a 8.769
_cell_length_b 8.769
_cell_length_c 9.610
_cell_angle_alpha 94.10
_cell_angle_beta 94.10
_cell_angle_gamma 117.88
_symmetry_space_group_name_H-M 'P 1'
_symmetry_Int_Tables_number 1
_symmetry_space_group_name_Hall 'P 1'
loop_
_atom_site_label
_atom_site_fract_x
_atom_site_fract_y
_atom_site_fract_z
_atom_site_occupancy
Pr1 0.021 0.979 0.750 1
Pr2 0.979 0.021 0.250 1
Sm1 0.198 0.301 0.545 1
Sm2 0.301 0.198 0.045 1
Sm3 0.699 0.802 0.955 1
Sm4 0.802 0.699 0.455 1
Ho1 0.018 0.569 0.685 1
Ho2 0.124 0.744 0.057 1
Ho3 0.256 0.876 0.443 1
Ho4 0.294 0.508 0.881 1
Ho5 0.431 0.982 0.815 1
Ho6 0.492 0.706 0.619 1
Ho7 0.508 0.294 0.381 1
Ho8 0.569 0.018 0.185 1
Ho9 0.706 0.492 0.119 1
Ho10 0.744 0.124 0.557 1
Ho11 0.876 0.256 0.943 1
Ho12 0.982 0.431 0.315 1
Tm1 0.409 0.591 0.250 1
Tm2 0.591 0.409 0.750 1
```



# 13
First-principles (PBE) data for a geometry-optimized TlNiBiSe3 structure, as listed in Alexandria via LeMat-Bulk.

## Properties
* spin magnetization: 0.9 μB/f.u.
* uncorrected energy: -4.06 eV/atom
* raw formation energy: -312 meV per atom

```
data_TlNiBiSe3
_cell_length_a 9.232
_cell_length_b 4.141
_cell_length_c 9.419
_cell_angle_alpha 90.00
_cell_angle_beta 103.68
_cell_angle_gamma 90.00
_symmetry_space_group_name_H-M 'P 1'
_symmetry_Int_Tables_number 1
_symmetry_space_group_name_Hall 'P 1'
loop_
_atom_site_label
_atom_site_fract_x
_atom_site_fract_y
_atom_site_fract_z
_atom_site_occupancy
Tl1 0.207 0.250 0.169 1
Tl2 0.793 0.750 0.831 1
Ni1 0.430 0.750 0.921 1
Ni2 0.570 0.250 0.079 1
Bi1 0.145 0.250 0.659 1
Bi2 0.855 0.750 0.341 1
Se1 0.159 0.750 0.880 1
Se2 0.167 0.750 0.435 1
Se3 0.489 0.250 0.825 1
Se4 0.511 0.750 0.175 1
Se5 0.833 0.250 0.565 1
Se6 0.841 0.250 0.120 1
```



# 14
First-principles (PBE) data for a geometry-optimized Tb12Ho5Sc structure, as listed in Alexandria via LeMat-Bulk.

## Properties
* energy of formation: 23 meV/atom
* spin magnetization: 0.0 μB/f.u.
* uncorrected energy: -4.69 eV/atom

```
data_Tb12Ho5Sc
_cell_length_a 10.600
_cell_length_b 10.600
_cell_length_c 5.000
_cell_angle_alpha 90.00
_cell_angle_beta 90.00
_cell_angle_gamma 90.11
_symmetry_space_group_name_H-M 'P 1'
_symmetry_Int_Tables_number 1
_symmetry_space_group_name_Hall 'P 1'
loop_
_atom_site_label
_atom_site_fract_x
_atom_site_fract_y
_atom_site_fract_z
_atom_site_occupancy
Tb1 0.000 0.330 0.500 1
Tb2 0.000 0.670 0.500 1
Tb3 0.164 0.164 0.000 1
Tb4 0.166 0.500 0.000 1
Tb5 0.330 0.000 0.500 1
Tb6 0.333 0.333 0.500 1
Tb7 0.500 0.166 0.000 1
Tb8 0.500 0.834 0.000 1
Tb9 0.667 0.667 0.500 1
Tb10 0.670 0.000 0.500 1
Tb11 0.834 0.500 0.000 1
Tb12 0.836 0.836 0.000 1
Ho1 0.165 0.835 0.000 1
Ho2 0.333 0.667 0.500 1
Ho3 0.500 0.500 0.000 1
Ho4 0.667 0.333 0.500 1
Ho5 0.835 0.165 0.000 1
Sc1 0.000 0.000 0.500 1
```



# 15
First-principles (PBE) data for a geometry-optimized ReOsIN2 structure, as listed in Alexandria via LeMat-Bulk.

## Properties
* spin magnetization: 1.5 μB/f.u.
* uncorrected energy: -6.88 eV/atom
* E above lowest polymorph: 0 meV per atom
* raw formation energy: 1491 meV per atom

```
data_ReOsIN2
_cell_length_a 3.831
_cell_length_b 3.831
_cell_length_c 6.043
_cell_angle_alpha 90.00
_cell_angle_beta 90.00
_cell_angle_gamma 90.00
_symmetry_space_group_name_H-M 'P 1'
_symmetry_Int_Tables_number 1
_symmetry_space_group_name_Hall 'P 1'
loop_
_atom_site_label
_atom_site_fract_x
_atom_site_fract_y
_atom_site_fract_z
_atom_site_occupancy
Re1 0.000 0.000 0.000 1
Os1 0.500 0.500 0.500 1
I1 0.000 0.000 0.500 1
N1 0.000 0.500 0.000 1
N2 0.500 0.000 0.000 1
```



# 16
First-principles (PBE) data for a geometry-optimized Cs2InCl6F structure, as listed in Alexandria via LeMat-Bulk.

## Properties
* spin magnetization: 2.0 μB/f.u.
* uncorrected energy: -2.92 eV/atom
* raw formation energy: -1182 meV per atom

```
data_Cs2InCl6F
_cell_length_a 7.714
_cell_length_b 7.714
_cell_length_c 7.714
_cell_angle_alpha 123.75
_cell_angle_beta 123.75
_cell_angle_gamma 83.63
_symmetry_space_group_name_H-M 'P 1'
_symmetry_Int_Tables_number 1
_symmetry_space_group_name_Hall 'P 1'
loop_
_atom_site_label
_atom_site_fract_x
_atom_site_fract_y
_atom_site_fract_z
_atom_site_occupancy
Cs1 0.250 0.750 0.500 1
Cs2 0.750 0.250 0.500 1
In1 0.000 0.000 0.000 1
Cl1 0.216 0.216 0.000 1
Cl2 0.250 0.250 0.500 1
Cl3 0.250 0.750 0.000 1
Cl4 0.750 0.250 0.000 1
Cl5 0.750 0.750 0.500 1
Cl6 0.784 0.784 0.000 1
F1 0.500 0.500 0.000 1
```



# 17
First-principles (PBE) data for a geometry-optimized SrPr5Nd4 structure, as listed in Alexandria via LeMat-Bulk.

## Properties
* energy of formation: 37 meV/atom
* spin magnetization: 0.0 μB/f.u.
* uncorrected energy: -4.43 eV/atom

```
data_SrPr5Nd4
_cell_length_a 3.743
_cell_length_b 3.743
_cell_length_c 26.624
_cell_angle_alpha 90.00
_cell_angle_beta 90.00
_cell_angle_gamma 90.00
_symmetry_space_group_name_H-M 'P 1'
_symmetry_Int_Tables_number 1
_symmetry_space_group_name_Hall 'P 1'
loop_
_atom_site_label
_atom_site_fract_x
_atom_site_fract_y
_atom_site_fract_z
_atom_site_occupancy
Sr1 0.000 0.000 0.000 1
Pr1 0.500 0.500 0.114 1
Pr2 0.500 0.500 0.306 1
Pr3 0.500 0.500 0.500 1
Pr4 0.500 0.500 0.694 1
Pr5 0.500 0.500 0.886 1
Nd1 0.000 0.000 0.207 1
Nd2 0.000 0.000 0.403 1
Nd3 0.000 0.000 0.597 1
Nd4 0.000 0.000 0.793 1
```